(1)
Below is an optimized crystal structure of MnIr2W, with properties calculated at the GGA-PBEsol level.

Values from the calculation:
DOS at the Fermi energy	3.345	states/eV/cell
calculated volume	54.8	Å³ per cell
space group	I-4m2, No. 119
E_form	-170.5	meV per atom

a = 3.7867 Å, b = 3.7867 Å, c = 4.6643 Å
α = 113.95°, β = 113.95°, γ = 90.00°
Closest atoms and distances in Å follow each position.
Element x y z (fractional)
Mn: 0.0000 0.0000 0.0000  8 Ir 2.68-2.69, 4 W 2.69
W: 0.2500 0.7500 0.5000  8 Ir 2.68-2.69, 4 Mn 2.69
Ir: 0.5000 0.5000 0.0000  4 Mn 2.68, 4 W 2.69, 4 Ir 2.69
Ir: 0.7500 0.2500 0.5000  4 W 2.68, 4 Mn 2.69, 4 Ir 2.69

***

(2)
Below is an optimized crystal structure of TaBeCo2, with properties calculated at the GGA-PBEsol level.

Values from the calculation:
DOS at the Fermi energy	2.667	states/eV/cell
calculated volume	45.8	Å³ per cell
space group	Pmmm, No. 47
E_form	-218.4	meV per atom

a = 3.0188 Å, b = 2.8786 Å, c = 5.2681 Å
α = 90.00°, β = 90.00°, γ = 90.00°
Closest atoms and distances in Å follow each position.
Element x y z (fractional)
Be: 0.5000 0.5000 0.5000  8 Co 2.40, 2 Ta 2.63
Co: 0.0000 0.0000 0.7259  1 Co 2.38, 4 Be 2.40, 4 Ta 2.54
Co: 0.0000 0.0000 0.2741  1 Co 2.38, 4 Be 2.40, 4 Ta 2.54
Ta: 0.5000 0.5000 0.0000  8 Co 2.54, 2 Be 2.63

***

(3)
Below is an optimized crystal structure of LaFe3W, with properties calculated at the GGA-PBEsol level.

Values from the calculation:
DOS at the Fermi energy	7.766	states/eV/cell
calculated volume	80.8	Å³ per cell
space group	Pm-3m, No. 221
E_form	2119.9	meV per atom

a = 4.3233 Å, b = 4.3233 Å, c = 4.3233 Å
α = 90.00°, β = 90.00°, γ = 90.00°
Closest atoms and distances in Å follow each position.
Element x y z (fractional)
Fe: 0.0000 0.5000 0.0000  2 La 2.16
Fe: 0.0000 0.0000 0.5000  2 La 2.16
Fe: 0.5000 0.0000 0.0000  2 La 2.16
W: 0.5000 0.5000 0.5000  12 Fe 3.06
La: 0.0000 0.0000 0.0000  6 Fe 2.16

***

(4)
Below is an optimized crystal structure of In8Ag, with properties calculated at the GGA-PBEsol level.

Values from the calculation:
DOS at the Fermi energy	3.940	states/eV/cell
calculated volume	215.0	Å³ per cell
space group	I4/mmm, No. 139
E_form	20.6	meV per atom

a = 4.4409 Å, b = 7.3040 Å, c = 7.3040 Å
α = 84.70°, β = 72.30°, γ = 72.30°
Closest atoms and distances in Å follow each position.
Element x y z (fractional)
Ag: 0.0000 0.0000 0.0000  12 In 3.14-3.23
In: 0.3400 0.3201 0.0000  2 Ag 3.14, 10 In 3.15-3.35
In: 0.6600 0.6799 0.0000  2 Ag 3.14, 10 In 3.15-3.35
In: 0.6721 0.3279 0.3279  11 In 3.18-3.39, 1 Ag 3.23
In: 0.3400 0.0000 0.3201  2 Ag 3.14, 10 In 3.15-3.35
In: 0.0000 0.6721 0.3279  11 In 3.18-3.39, 1 Ag 3.23
In: 0.6600 0.0000 0.6799  2 Ag 3.14, 10 In 3.15-3.35
In: 0.3279 0.6721 0.6721  11 In 3.18-3.39, 1 Ag 3.23
In: 0.0000 0.3279 0.6721  11 In 3.18-3.39, 1 Ag 3.23